Record 1
A plane-wave DFT calculation with PBE-GGA was carried out for Ac2PaGa3Pt4 after structural relaxation.

CIF file:
```
data_Ac2PaGa3Pt4
_cell_length_a 4.520
_cell_length_b 4.520
_cell_length_c 10.915
_cell_angle_alpha 90.00
_cell_angle_beta 90.00
_cell_angle_gamma 90.00
_symmetry_space_group_name_H-M 'P 1'
_symmetry_Int_Tables_number 1
loop_
_symmetry_equiv_pos_as_xyz
'x,y,z'
loop_
_atom_site_label
_atom_site_fract_x
_atom_site_fract_y
_atom_site_fract_z
Ac1 0.000 0.500 0.229
Ac2 0.500 0.000 0.771
Pa1 0.000 0.000 0.500
Ga1 0.000 0.500 0.884
Ga2 0.500 0.000 0.116
Ga3 0.500 0.500 0.500
Pt1 0.000 0.000 0.000
Pt2 0.000 0.500 0.649
Pt3 0.500 0.000 0.351
Pt4 0.500 0.500 0.000
```

Properties
Calculated total energy = -0.4418 Ry/atom
Fermi-level density of states = 9.2 states/eV per cell
Crystal system = tetragonal
Energy of formation = -0.92 eV/atom

Record 2
A plane-wave DFT calculation with PBE-GGA was carried out for AcPaGa2S8 after structural relaxation.

CIF file:
```
data_AcPaGa2S8
_cell_length_a 8.210
_cell_length_b 8.210
_cell_length_c 8.210
_cell_angle_alpha 134.31
_cell_angle_beta 134.31
_cell_angle_gamma 66.61
_symmetry_space_group_name_H-M 'P 1'
_symmetry_Int_Tables_number 1
loop_
_symmetry_equiv_pos_as_xyz
'x,y,z'
loop_
_atom_site_label
_atom_site_fract_x
_atom_site_fract_y
_atom_site_fract_z
Ac1 0.000 0.000 0.000
Pa1 0.250 0.750 0.500
Ga1 0.500 0.500 0.000
Ga2 0.750 0.250 0.500
S1 0.016 0.073 0.429
S2 0.252 0.663 0.104
S3 0.337 0.441 0.589
S4 0.413 0.984 0.058
S5 0.559 0.148 0.896
S6 0.644 0.587 0.571
S7 0.852 0.748 0.411
S8 0.927 0.356 0.942
```

Properties
Calculated total energy = -0.3946 Ry/atom
Fermi-level density of states = 11.9 states/eV per cell
Crystal system = tetragonal

Record 3
A plane-wave DFT calculation with PBE-GGA was carried out for AcPa2GaS8 after structural relaxation.

CIF file:
```
data_AcPa2GaS8
_cell_length_a 6.184
_cell_length_b 8.310
_cell_length_c 6.302
_cell_angle_alpha 90.00
_cell_angle_beta 94.41
_cell_angle_gamma 90.00
_symmetry_space_group_name_H-M 'P 1'
_symmetry_Int_Tables_number 1
loop_
_symmetry_equiv_pos_as_xyz
'x,y,z'
loop_
_atom_site_label
_atom_site_fract_x
_atom_site_fract_y
_atom_site_fract_z
Ac1 0.000 0.000 0.000
Pa1 0.500 0.260 0.500
Pa2 0.500 0.740 0.500
Ga1 0.000 0.500 0.000
S1 0.232 0.290 0.159
S2 0.232 0.710 0.159
S3 0.278 0.500 0.649
S4 0.289 0.000 0.640
S5 0.711 0.000 0.360
S6 0.722 0.500 0.351
S7 0.768 0.290 0.841
S8 0.768 0.710 0.841
```

Properties
Calculated total energy = -0.4617 Ry/atom
Crystal system = monoclinic

Record 4
A plane-wave DFT calculation with PBE-GGA was carried out for AcPaGaSb after structural relaxation.

CIF file:
```
data_AcPaGaSb
_cell_length_a 5.435
_cell_length_b 5.435
_cell_length_c 5.435
_cell_angle_alpha 60.00
_cell_angle_beta 60.00
_cell_angle_gamma 60.00
_symmetry_space_group_name_H-M 'P 1'
_symmetry_Int_Tables_number 1
loop_
_symmetry_equiv_pos_as_xyz
'x,y,z'
loop_
_atom_site_label
_atom_site_fract_x
_atom_site_fract_y
_atom_site_fract_z
Ac1 0.000 0.000 0.000
Pa1 0.500 0.500 0.500
Ga1 0.750 0.750 0.750
Sb1 0.250 0.250 0.250
```

Properties
Calculated total energy = -0.3993 Ry/atom
Fermi-level density of states = 8.0 states/eV per cell
Crystal system = cubic

The highest calculated total energy belongs to which entry? AcPaGa2S8